[1]
VASP calculation (PBEsol) on a geometry-optimized CuHgB2Rh structure.

Geometry as CIF:
```
data_CuHgB2Rh
_chemical_formula_sum 'Cu1 Hg1 B2 Rh1'
_cell_length_a 4.0647
_cell_length_b 4.0647
_cell_length_c 4.7385
_cell_angle_alpha 90.00
_cell_angle_beta 90.00
_cell_angle_gamma 90.00
_space_group_name_H-M_alt 'P 4/m m m'
_space_group_IT_number 123
_space_group_name_Hall '-P 4 2'
loop_
_atom_site_label
_atom_site_type_symbol
_atom_site_fract_x
_atom_site_fract_y
_atom_site_fract_z
Cu1 Cu 0.0000 0.0000 0.0000
Hg1 Hg 0.0000 0.0000 0.5000
B1 B 0.0000 0.5000 0.5000
Rh1 Rh 0.5000 0.5000 0.0000
```

Calculated values
* N(E_F): 3.208 states/eV per cell
* formation energy: 1.98 eV/atom

[2]
VASP calculation (PBEsol) on a geometry-optimized Ho2CuB8O16 structure.

Geometry as CIF:
```
data_Ho2CuB8O16
_chemical_formula_sum 'Ho4 Cu2 B16 O32'
_cell_length_a 6.0852
_cell_length_b 8.4351
_cell_length_c 10.1867
_cell_angle_alpha 90.00
_cell_angle_beta 90.00
_cell_angle_gamma 90.00
_space_group_name_H-M_alt 'P b a m'
_space_group_IT_number 55
loop_
_space_group_symop_operation_xyz
'x,y,z'
'-x,-y,-z'
'-x,-y,z'
'x,y,-z'
'x+1/2,-y+1/2,-z'
'-x+1/2,y+1/2,z'
'-x+1/2,y+1/2,-z'
'x+1/2,-y+1/2,z'
loop_
_atom_site_label
_atom_site_type_symbol
_atom_site_fract_x
_atom_site_fract_y
_atom_site_fract_z
Ho1 Ho 0.0000 0.0000 0.1822
Cu1 Cu 0.0000 0.0000 0.5000
B1 B 0.0000 0.5000 0.1934
B2 B 0.1181 0.3159 0.0000
B3 B 0.1206 0.6937 0.3772
O1 O 0.0647 0.8468 0.3600
O2 O 0.0659 0.1606 0.0000
O3 O 0.1488 0.6257 0.5000
O4 O 0.1514 0.4002 0.1163
O5 O 0.1556 0.5950 0.2694
```

Calculated values
* formation energy without anion corrections: -2.5608 eV/atom

[3]
VASP calculation (PBEsol) on a geometry-optimized CuBI2 structure.

Geometry as CIF:
```
data_CuBI2
_chemical_formula_sum 'Cu4 B4 I8'
_cell_length_a 6.9881
_cell_length_b 6.9881
_cell_length_c 6.9881
_cell_angle_alpha 90.00
_cell_angle_beta 90.00
_cell_angle_gamma 90.00
_space_group_name_H-M_alt 'F m -3 m'
_space_group_IT_number 225
_space_group_name_Hall '-F 4 2 3'
loop_
_atom_site_label
_atom_site_type_symbol
_atom_site_fract_x
_atom_site_fract_y
_atom_site_fract_z
Cu1 Cu 0.0000 0.0000 0.0000
B1 B 0.0000 0.0000 0.5000
I1 I 0.2500 0.2500 0.2500
```

Calculated values
* N(E_F): 5.627 states/eV per cell
* formation energy without anion corrections: 1.2238 eV/atom

[4]
VASP calculation (PBEsol) on a geometry-optimized CuB2IN structure.

Geometry as CIF:
```
data_CuB2IN
_chemical_formula_sum 'Cu1 B2 I1 N1'
_cell_length_a 3.6405
_cell_length_b 3.6405
_cell_length_c 5.7818
_cell_angle_alpha 90.00
_cell_angle_beta 90.00
_cell_angle_gamma 90.00
_space_group_name_H-M_alt 'P 4/m m m'
_space_group_IT_number 123
_space_group_name_Hall '-P 4 2'
loop_
_atom_site_label
_atom_site_type_symbol
_atom_site_fract_x
_atom_site_fract_y
_atom_site_fract_z
Cu1 Cu 0.0000 0.0000 0.0000
B1 B 0.0000 0.5000 0.0000
I1 I 0.0000 0.0000 0.5000
N1 N 0.5000 0.5000 0.5000
```

Calculated values
* N(E_F): 2.025 states/eV per cell
* formation energy without anion corrections: 1.8959 eV/atom

[5]
VASP calculation (PBEsol) on a geometry-optimized CuBPdI2 structure.

Geometry as CIF:
```
data_CuBPdI2
_chemical_formula_sum 'Cu1 B1 Pd1 I2'
_cell_length_a 5.3092
_cell_length_b 5.3092
_cell_length_c 3.7740
_cell_angle_alpha 90.00
_cell_angle_beta 90.00
_cell_angle_gamma 90.00
_space_group_name_H-M_alt 'P 4/m m m'
_space_group_IT_number 123
_space_group_name_Hall '-P 4 2'
loop_
_atom_site_label
_atom_site_type_symbol
_atom_site_fract_x
_atom_site_fract_y
_atom_site_fract_z
Cu1 Cu 0.0000 0.0000 0.0000
B1 B 0.0000 0.0000 0.5000
Pd1 Pd 0.5000 0.5000 0.5000
I1 I 0.0000 0.5000 0.0000
```

Calculated values
* N(E_F): 4.666 states/eV per cell
* formation energy without anion corrections: 0.8699 eV/atom

[6]
VASP calculation (PBEsol) on a geometry-optimized CuBSbI2 structure.

Geometry as CIF:
```
data_CuBSbI2
_chemical_formula_sum 'Cu1 B1 Sb1 I2'
_cell_length_a 5.0685
_cell_length_b 5.0685
_cell_length_c 4.5986
_cell_angle_alpha 90.00
_cell_angle_beta 90.00
_cell_angle_gamma 90.00
_space_group_name_H-M_alt 'P 4/m m m'
_space_group_IT_number 123
_space_group_name_Hall '-P 4 2'
loop_
_atom_site_label
_atom_site_type_symbol
_atom_site_fract_x
_atom_site_fract_y
_atom_site_fract_z
Cu1 Cu 0.0000 0.0000 0.0000
B1 B 0.5000 0.5000 0.5000
Sb1 Sb 0.5000 0.5000 0.0000
I1 I 0.0000 0.5000 0.5000
```

Calculated values
* N(E_F): 3.256 states/eV per cell
* formation energy without anion corrections: 1.0261 eV/atom

[7]
VASP calculation (PBEsol) on a geometry-optimized Cu2B3Ir4 structure.

Geometry as CIF:
```
data_Cu2B3Ir4
_chemical_formula_sum 'Cu4 B6 Ir8'
_cell_length_a 2.7927
_cell_length_b 2.8204
_cell_length_c 25.4673
_cell_angle_alpha 90.00
_cell_angle_beta 90.00
_cell_angle_gamma 90.00
_space_group_name_H-M_alt 'A m m 2'
_space_group_IT_number 38
loop_
_space_group_symop_operation_xyz
'x,y,z'
'-x,-y,z'
'-x,y,z'
'x,-y,z'
'x,y+1/2,z+1/2'
'-x,-y+1/2,z+1/2'
'-x,y+1/2,z+1/2'
'x,-y+1/2,z+1/2'
loop_
_atom_site_label
_atom_site_type_symbol
_atom_site_fract_x
_atom_site_fract_y
_atom_site_fract_z
Cu1 Cu 0.0000 0.0000 0.0000
Cu2 Cu 0.5000 0.0000 0.4445
B1 B 0.0000 0.0000 0.1064
B2 B 0.5000 0.0000 0.3396
B3 B 0.5000 0.0000 0.7321
Ir1 Ir 0.0000 0.0000 0.2716
Ir2 Ir 0.0000 0.0000 0.8736
Ir3 Ir 0.5000 0.0000 0.1704
Ir4 Ir 0.5000 0.0000 0.5704
```

Calculated values
* N(E_F): 5.577 states/eV per cell
* formation energy: -0.19 eV/atom

[8]
VASP calculation (PBEsol) on a geometry-optimized KCuBSb2 structure.

Geometry as CIF:
```
data_KCuBSb2
_chemical_formula_sum 'K1 Cu1 B1 Sb2'
_cell_length_a 5.4140
_cell_length_b 5.4140
_cell_length_c 3.8687
_cell_angle_alpha 90.00
_cell_angle_beta 90.00
_cell_angle_gamma 90.00
_space_group_name_H-M_alt 'P 4/m m m'
_space_group_IT_number 123
_space_group_name_Hall '-P 4 2'
loop_
_atom_site_label
_atom_site_type_symbol
_atom_site_fract_x
_atom_site_fract_y
_atom_site_fract_z
K1 K 0.0000 0.0000 0.0000
Cu1 Cu 0.5000 0.5000 0.5000
B1 B 0.5000 0.5000 0.0000
Sb1 Sb 0.0000 0.5000 0.5000
```

Calculated values
* N(E_F): 2.775 states/eV per cell
* formation energy without anion corrections: 0.5842 eV/atom